[1]
# NaMgTi2 (PBE, relaxed)
data_NaMgTi2
_chemical_formula_sum 'Na4 Mg4 Ti8'
_cell_length_a 7.931
_cell_length_b 7.931
_cell_length_c 5.264
_cell_angle_alpha 90.00
_cell_angle_beta 90.00
_cell_angle_gamma 90.00
_space_group_name_H-M_alt 'I -4 2 d'
_space_group_IT_number 122
_space_group_name_Hall 'I -4 2bw'
loop_
_atom_site_label
_atom_site_fract_x
_atom_site_fract_y
_atom_site_fract_z
Na1 0.000 0.000 0.000
Mg1 0.000 0.000 0.500
Ti1 0.249 0.250 0.125
# - M_tot: 0.00 μB per formula unit
# - Volume: 20.7 A^3/atom
# - E_form: 862 meV per atom

***

[2]
# PuZnAg2 (PBE, relaxed)
data_PuZnAg2
_chemical_formula_sum 'Pu3 Zn3 Ag6'
_cell_length_a 2.9560
_cell_length_b 2.9560
_cell_length_c 29.9368
_cell_angle_alpha 90.00
_cell_angle_beta 90.00
_cell_angle_gamma 120.00
_space_group_name_H-M_alt 'R 3 m'
_space_group_IT_number 160
_space_group_name_Hall 'R 3 -2"'
loop_
_atom_site_label
_atom_site_fract_x
_atom_site_fract_y
_atom_site_fract_z
Pu1 0.0000 0.0000 0.0000
Zn1 0.0000 0.0000 0.1668
Ag1 0.0000 0.0000 0.5742
Ag2 0.0000 0.0000 0.7592
# - M_tot: 4.92 μB per formula unit
# - Volume: 18.9 A^3/atom
# - E_form: 99 meV per atom

***

[3]
# Rb5ClF4 (PBE, relaxed)
data_Rb5ClF4
_chemical_formula_sum 'Rb10 Cl2 F8'
_cell_length_a 13.870
_cell_length_b 4.128
_cell_length_c 10.452
_cell_angle_alpha 90.00
_cell_angle_beta 119.23
_cell_angle_gamma 90.00
_space_group_name_H-M_alt 'C 1 2/m 1'
_space_group_IT_number 12
_space_group_name_Hall '-C 2y'
loop_
_atom_site_label
_atom_site_fract_x
_atom_site_fract_y
_atom_site_fract_z
Rb1 0.000 0.000 0.000
Rb2 0.111 0.500 0.374
Rb3 0.209 0.000 0.821
Cl1 0.000 0.000 0.500
F1 0.096 0.500 0.902
F2 0.199 0.000 0.285
# - M_tot: 0.45 μB per formula unit
# - Distance to the lowest polymorph of the same formula: 0 meV/atom
# - Volume: 26.1 A^3/atom

***

[4]
# Ba2ReSi (PBE, relaxed)
data_Ba2ReSi
_chemical_formula_sum 'Ba4 Re2 Si2'
_cell_length_a 4.998
_cell_length_b 4.998
_cell_length_c 9.359
_cell_angle_alpha 90.00
_cell_angle_beta 90.00
_cell_angle_gamma 90.00
_space_group_name_H-M_alt 'I 4/m m m'
_space_group_IT_number 139
_space_group_name_Hall '-I 4 2'
loop_
_atom_site_label
_atom_site_fract_x
_atom_site_fract_y
_atom_site_fract_z
Ba1 0.000 0.500 0.250
Re1 0.000 0.000 0.000
Si1 0.000 0.000 0.500
# - M_tot: 2.60 μB per formula unit
# - Uncorrected energy: -35.6 eV per cell
# - Volume: 29.2 A^3/atom

***

[5]
# HoMgZnPd (PBE, relaxed)
data_HoMgZnPd
_chemical_formula_sum 'Ho4 Mg4 Zn4 Pd4'
_cell_length_a 6.775
_cell_length_b 6.775
_cell_length_c 6.775
_cell_angle_alpha 90.00
_cell_angle_beta 90.00
_cell_angle_gamma 90.00
_space_group_name_H-M_alt 'F -4 3 m'
_space_group_IT_number 216
_space_group_name_Hall 'F -4 2 3'
loop_
_atom_site_label
_atom_site_fract_x
_atom_site_fract_y
_atom_site_fract_z
Ho1 0.000 0.000 0.000
Mg1 0.000 0.000 0.500
Zn1 0.250 0.250 0.750
Pd1 0.250 0.250 0.250
# - M_tot: 0.00 μB per formula unit
# - Volume: 19.4 A^3/atom
# - E_form: -542 meV per atom

***

[6]
# KDyTe2Au (PBE, relaxed)
data_KDyTe2Au
_chemical_formula_sum 'K2 Dy2 Te4 Au2'
_cell_length_a 8.447
_cell_length_b 4.843
_cell_length_c 8.408
_cell_angle_alpha 90.00
_cell_angle_beta 96.47
_cell_angle_gamma 90.00
_space_group_name_H-M_alt 'P 1 2/c 1'
_space_group_IT_number 13
_space_group_name_Hall '-P 2yc'
loop_
_atom_site_label
_atom_site_fract_x
_atom_site_fract_y
_atom_site_fract_z
K1 0.000 0.121 0.250
Dy1 0.500 0.496 0.750
Te1 0.247 0.357 0.973
Au1 0.500 0.000 0.000
# - M_tot: 0.00 μB per formula unit
# - Uncorrected energy: -39.2 eV per cell
# - Volume: 34.2 A^3/atom

***

[7]
# La5Sm2Pt5 (PBE, relaxed)
data_La5Sm2Pt5
_chemical_formula_sum 'La10 Sm4 Pt10'
_cell_length_a 13.963
_cell_length_b 4.114
_cell_length_c 12.553
_cell_angle_alpha 90.00
_cell_angle_beta 104.27
_cell_angle_gamma 90.00
_space_group_name_H-M_alt 'C 1 2/m 1'
_space_group_IT_number 12
_space_group_name_Hall '-C 2y'
loop_
_atom_site_label
_atom_site_fract_x
_atom_site_fract_y
_atom_site_fract_z
La1 0.000 0.000 0.000
La2 0.154 0.000 0.550
La3 0.241 0.000 0.857
Sm1 0.042 0.500 0.285
Pt1 0.000 0.500 0.500
Pt2 0.116 0.500 0.921
Pt3 0.194 0.000 0.315
# - M_tot: 0.00 μB per formula unit
# - Volume: 29.1 A^3/atom
# - E_form: -1011 meV per atom

***

[8]
# Cd6SnHg4 (PBE, relaxed)
data_Cd6SnHg4
_chemical_formula_sum 'Cd24 Sn4 Hg16'
_cell_length_a 4.227
_cell_length_b 14.024
_cell_length_c 18.725
_cell_angle_alpha 90.00
_cell_angle_beta 90.00
_cell_angle_gamma 90.00
_space_group_name_H-M_alt 'C m c m'
_space_group_IT_number 63
_space_group_name_Hall '-C 2c 2'
loop_
_atom_site_label
_atom_site_fract_x
_atom_site_fract_y
_atom_site_fract_z
Cd1 0.000 0.000 0.000
Cd2 0.000 0.209 0.125
Cd3 0.000 0.279 0.750
Cd4 0.000 0.470 0.627
Sn1 0.000 0.052 0.250
Hg1 0.000 0.128 0.640
Hg2 0.000 0.337 0.501
# - M_tot: 0.00 μB per formula unit
# - Distance to the lowest polymorph of the same formula: 0 meV/atom
# - Volume: 25.2 A^3/atom
# - E_form: 33 meV per atom

***

[9]
# Li2In2Pd (PBE, relaxed)
data_Li2In2Pd
_chemical_formula_sum 'Li8 In8 Pd4'
_cell_length_a 4.529
_cell_length_b 14.016
_cell_length_c 5.809
_cell_angle_alpha 90.00
_cell_angle_beta 90.00
_cell_angle_gamma 90.00
_space_group_name_H-M_alt 'C m c 21'
_space_group_IT_number 36
_space_group_name_Hall 'C 2c -2'
loop_
_atom_site_label
_atom_site_fract_x
_atom_site_fract_y
_atom_site_fract_z
Li1 0.000 0.089 0.000
Li2 0.000 0.296 0.723
In1 0.000 0.306 0.222
In2 0.000 0.480 0.829
Pd1 0.000 0.132 0.473
# - M_tot: 0.00 μB per formula unit
# - Volume: 18.4 A^3/atom
# - E_form: -363 meV per atom

***

[10]
# La2CrRu (PBE, relaxed)
data_La2CrRu
_chemical_formula_sum 'La8 Cr4 Ru4'
_cell_length_a 7.612
_cell_length_b 7.612
_cell_length_c 6.267
_cell_angle_alpha 90.00
_cell_angle_beta 90.00
_cell_angle_gamma 90.00
_space_group_name_H-M_alt 'I -4 2 d'
_space_group_IT_number 122
_space_group_name_Hall 'I -4 2bw'
loop_
_atom_site_label
_atom_site_fract_x
_atom_site_fract_y
_atom_site_fract_z
La1 0.236 0.250 0.125
Cr1 0.000 0.000 0.500
Ru1 0.000 0.000 0.000
# - M_tot: 0.05 μB per formula unit
# - Distance to the lowest polymorph of the same formula: 524 meV/atom
# - Volume: 22.7 A^3/atom
# - E_form: 708 meV per atom

***

[11]
# Na3SrCa (PBE, relaxed)
data_Na3SrCa
_chemical_formula_sum 'Na12 Sr4 Ca4'
_cell_length_a 7.054
_cell_length_b 8.959
_cell_length_c 13.307
_cell_angle_alpha 90.00
_cell_angle_beta 90.00
_cell_angle_gamma 90.00
_space_group_name_H-M_alt 'P n m a'
_space_group_IT_number 62
_space_group_name_Hall '-P 2ac 2n'
loop_
_atom_site_label
_atom_site_fract_x
_atom_site_fract_y
_atom_site_fract_z
Na1 0.005 0.250 0.208
Na2 0.247 0.069 0.750
Sr1 0.000 0.250 0.490
Ca1 0.000 0.000 0.000
# - M_tot: 0.00 μB per formula unit
# - Distance to the lowest polymorph of the same formula: 0 meV/atom
# - Volume: 42.0 A^3/atom
# - E_form: 86 meV per atom

***

[12]
# LaMo (PBE, relaxed)
data_LaMo
_chemical_formula_sum 'La2 Mo2'
_cell_length_a 3.465
_cell_length_b 5.321
_cell_length_c 4.808
_cell_angle_alpha 90.00
_cell_angle_beta 96.27
_cell_angle_gamma 90.00
_space_group_name_H-M_alt 'C 1 2/m 1'
_space_group_IT_number 12
_space_group_name_Hall '-C 2y'
loop_
_atom_site_label
_atom_site_fract_x
_atom_site_fract_y
_atom_site_fract_z
La1 0.000 0.000 0.000
Mo1 0.000 0.500 0.500
# - M_tot: 0.00 μB per formula unit
# - Distance to the lowest polymorph of the same formula: 486 meV/atom
# - Volume: 22.0 A^3/atom
# - E_form: 727 meV per atom